The following is a PBE calculation of an optimized crystal structure of In3Hg2Pb4, from Alexandria.

abc: 3.5952 3.5952 23.8049
angles: 90.00 90.00 120.00
Space group P3m1 (No. 156)
Symmetry-distinct sites (fractional):
In (0.0000, 0.0000, 0.0000) x1
In (0.0000, 0.0000, 0.3391) x1
In (0.6667, 0.3333, 0.6821) x1
Hg (0.6667, 0.3333, 0.1029) x1
Hg (0.6667, 0.3333, 0.8999) x1
Pb (0.0000, 0.0000, 0.5699) x1
Pb (0.0000, 0.0000, 0.7933) x1
Pb (0.6667, 0.3333, 0.2300) x1
Pb (0.6667, 0.3333, 0.4514) x1

Output
Offset from the most stable computed form   2 meV per atom
V   266 Å³/cell
Formation energy   38 meV per atom
Uncorrected energy   -23.311 eV/f.u.

---

The following is a PBE calculation of an optimized crystal structure of In2Hg7Pb2, from Alexandria.

abc: 11.488 9.832 5.840
angles: 90.00 112.73 90.00
Space group C2/m (No. 12)
Symmetry-distinct sites (fractional):
In (0.234, 0.000, 0.006) x4
Hg (0.000, 0.500, 0.500) x2
Hg (0.066, 0.000, 0.302) x4
Hg (0.172, 0.241, 0.654) x8
Pb (0.000, 0.323, 0.000) x4

Output
Offset from the most stable computed form   0 meV per atom
V   608 Å³/cell
Formation energy   41 meV per atom
Uncorrected energy   -14.552 eV/f.u.